Here is NiAgI2O after structural relaxation from Alexandria. Energies are from GGA+U.

a = 5.718 Å, b = 5.718 Å, c = 4.025 Å
α = 90.00°, β = 90.00°, γ = 90.00°
Fractional coordinates of all 5 atoms:
Ni: 0.000 0.000 0.000
Ag: 0.500 0.500 0.500
I: 0.000 0.500 0.500
I: 0.500 0.000 0.500
O: 0.500 0.500 0.000

Results
Calculated total energy ... -0.159 Ry per atom